Entry 1:
RbNa2SiTe4, optimized geometry, DFT GGA-PBE; energy relative to the elements, uncorrected = -29 kJ/mol of atoms; symmetry = C2/c (15)
1.0
9.3629 -0.0727 0.4693
-0.0793 9.3629 0.4693
-4.1751 -4.1780 6.6395
Rb Na Si Te
2 4 2 8
direct
0.0000 0.5000 0.0000
0.0000 0.5000 0.5000
0.5000 0.0000 0.0000
0.5000 0.0000 0.5000
0.0000 0.0000 0.5000
0.5000 0.5000 0.0000
0.5000 0.5000 0.5000
0.0000 0.0000 0.0000
0.2175 0.8372 0.0452
0.6628 0.2825 0.4548
0.3372 0.7175 0.5452
0.7825 0.1628 0.9548
0.8262 0.8435 0.0747
0.6565 0.6738 0.4253
0.3435 0.3262 0.5747
0.1738 0.1565 0.9253


Entry 2:
Tb3SnHg2, optimized geometry, DFT GGA-PBE; E_form = -0.5503 eV/atom; symmetry = P-3m1 (164)
1.0
5.2921 0.0000 0.0000
-2.6461 4.5831 0.0000
0.0000 0.0000 6.5318
Tb Sn Hg
3 1 2
direct
0.0000 0.0000 0.5000
0.6667 0.3333 0.8407
0.3333 0.6667 0.1593
0.0000 0.0000 0.0000
0.6667 0.3333 0.3622
0.3333 0.6667 0.6378


Entry 3:
Mg2GaCoC, optimized geometry, DFT GGA-PBE; E_form = 0.0440 eV/atom; symmetry = P4/mmm (123)
1.0
-0.0917 -4.4478 -0.1265
1.7081 0.0816 -4.1089
3.3726 -0.1093 1.3998
Mg Co C Ga
2 1 1 1
direct
0.0000 0.5000 0.0000
0.5000 0.0000 0.0000
0.0000 0.0000 0.5000
0.0000 0.0000 0.0000
0.5000 0.5000 0.5000


Entry 4:
AcPrHIr, optimized geometry, DFT GGA-PBE; VASP energy = -5.57 eV/atom; symmetry = F-43m (216)
1.0
-1.8800 -2.5266 -3.9479
0.5356 -5.0141 -0.2762
-4.0134 -3.0053 0.6045
Pr H Ac Ir
1 1 1 1
direct
0.0000 0.0000 0.0000
0.2500 0.2500 0.2500
0.5000 0.5000 0.5000
0.7500 0.7500 0.7500


Entry 5:
MnB3P, optimized geometry, DFT GGA-PBE; E_form = 1.4014 eV/atom; symmetry = Pm-3m (221)
1.0
-1.0961 0.6590 3.6137
1.8824 -3.1376 1.1432
3.1543 2.1014 0.5736
P B Mn
1 3 1
direct
0.5000 0.5000 0.5000
0.0000 0.5000 0.0000
0.0000 0.0000 0.5000
0.5000 0.0000 0.0000
0.0000 0.0000 0.0000


Entry 6:
Dy3Th5Sc4, optimized geometry, DFT GGA-PBE; E_form = 0.1713 eV/atom; symmetry = P-1 (2)
1.0
-2.1952 4.4653 3.3784
-8.4491 -2.2928 -2.5178
13.1446 -3.0186 7.0933
Dy Th Sc
3 5 4
direct
0.7512 0.3896 0.5082
0.0000 0.0000 0.5000
0.2488 0.6104 0.4918
0.3788 0.6616 0.7589
0.5000 0.0000 0.5000
0.5178 0.3745 0.0310
0.4822 0.6255 0.9690
0.6212 0.3384 0.2411
0.8829 0.1252 0.7691
0.9721 0.7618 0.9501
0.0279 0.2382 0.0499
0.1171 0.8749 0.2309


Entry 7:
BaY2HfMn, optimized geometry, DFT GGA-PBE; E_form = 2.1336 eV/atom; symmetry = P4/mmm (123)
1.0
-3.7087 -3.3051 2.3915
3.6249 -3.8829 0.2552
1.5875 1.8081 4.9607
Y Mn Hf Ba
2 1 1 1
direct
0.0000 0.0000 0.5000
0.5000 0.0000 0.0000
0.5000 0.5000 0.5000
0.0000 0.5000 0.0000
0.0000 0.0000 0.0000


Entry 8:
CsCu2I3, optimized geometry, DFT GGA-PBE; energy relative to the elements, uncorrected = -60 kJ/mol of atoms; symmetry = P2_1/m (11)
1.0
-3.3450 4.4074 3.0427
2.0114 -3.5696 7.3820
6.1785 5.8024 -1.6126
Cs I Cu
2 6 4
direct
0.7500 0.6548 0.3246
0.2500 0.3452 0.6754
0.2500 0.8862 0.1330
0.7500 0.1138 0.8670
0.2500 0.8331 0.5990
0.2500 0.3735 0.1590
0.7500 0.1669 0.4010
0.7500 0.6265 0.8410
0.4656 0.8700 0.8680
0.0344 0.8700 0.8680
0.9656 0.1300 0.1320
0.5344 0.1300 0.1320


Entry 9:
InCoW4, optimized geometry, DFT GGA-PBE; E_form = 0.7455 eV/atom; symmetry = F-43m (216)
1.0
0.0000 3.7418 3.7418
3.7418 0.0000 3.7418
3.7418 3.7418 0.0000
In Co W
1 1 4
direct
0.0000 0.0000 0.0000
0.7500 0.7500 0.7500
0.8754 0.3749 0.3749
0.3749 0.3749 0.8754
0.3749 0.8754 0.3749
0.3749 0.3749 0.3749


Entry 10:
Ac3Pr6Y, optimized geometry, DFT GGA-PBE; E_form = 0.3251 eV/atom; symmetry = R-3 (148)
1.0
9.0936 0.0000 4.8257
3.2664 8.4867 4.8257
2.1846 1.5000 6.8643
Ac Pr Y
3 6 1
direct
0.3499 0.3499 0.9503
0.6066 0.6066 0.1803
0.0930 0.0930 0.7209
0.9281 0.6022 0.2106
0.2591 0.9281 0.2106
0.6022 0.2591 0.2106
0.0976 0.4413 0.6888
0.7723 0.0976 0.6888
0.4413 0.7723 0.6888
0.8499 0.8499 0.4503


Entry 11:
Ti4ZnPt, optimized geometry, DFT GGA-PBE; E_form = -0.4370 eV/atom; symmetry = P4/mmm (123)
1.0
3.1216 0.0000 0.0000
0.0000 3.1216 0.0000
0.0000 0.0000 9.9552
Ti Zn Pt
4 1 1
direct
0.5000 0.5000 0.1650
0.0000 0.0000 0.6630
0.0000 0.0000 0.3370
0.5000 0.5000 0.8350
0.0000 0.0000 0.0000
0.5000 0.5000 0.5000


Entry 12:
LiErCdPd, optimized geometry, DFT GGA-PBE; E_form = -0.4773 eV/atom; symmetry = F-43m (216)
1.0
-0.2935 -1.3062 4.6006
3.0639 -3.2285 1.7739
3.3902 1.3645 3.0987
Cd Li Pd Er
1 1 1 1
direct
0.7500 0.7500 0.7500
0.0000 0.0000 0.0000
0.5000 0.5000 0.5000
0.2500 0.2500 0.2500


Entry 13:
CdCO2F, optimized geometry, DFT GGA-PBE; energy relative to the elements, uncorrected = 126 kJ/mol of atoms; symmetry = P4/mmm (123)
1.0
-3.0915 2.8024 0.3844
-0.7360 -0.2471 -4.1178
-2.7034 -3.0738 0.6676
C F O Cd
1 1 2 1
direct
0.5000 0.5000 0.5000
0.0000 0.0000 0.5000
0.0000 0.5000 0.0000
0.5000 0.0000 0.0000
0.0000 0.0000 0.0000


Entry 14:
Tl2AgAuI6, optimized geometry, DFT GGA-PBE; energy relative to the elements, uncorrected = -31 kJ/mol of atoms; symmetry = P2_1/c (14)
1.0
9.5991 0.0000 0.9837
0.0000 7.3026 0.0000
1.4620 0.0000 11.6661
Tl Ag Au I
4 2 2 12
direct
0.9816 0.9765 0.2722
0.4816 0.5235 0.7722
0.0184 0.0235 0.7278
0.5184 0.4765 0.2278
0.5000 0.0000 0.0000
0.0000 0.5000 0.5000
0.5000 0.0000 0.5000
0.0000 0.5000 0.0000
0.3158 0.7291 0.0695
0.8158 0.7709 0.5695
0.6842 0.2709 0.9305
0.1842 0.2291 0.4305
0.3351 0.7043 0.4874
0.8351 0.7957 0.9874
0.6649 0.2957 0.5126
0.1649 0.2043 0.0126
0.8905 0.4711 0.2304
0.3905 0.0289 0.7304
0.1095 0.5289 0.7696
0.6095 0.9711 0.2696


Entry 15:
SbMoP, optimized geometry, DFT GGA-PBE; energy relative to the elements, uncorrected = 24 kJ/mol of atoms; symmetry = Fmm2 (42)
1.0
-6.2404 -3.1246 2.5388
-5.6539 -0.8297 4.4194
-2.1753 0.8417 -1.9254
Sb Mo P
1 1 1
direct
0.3533 0.3533 0.6467
0.0165 0.0165 0.9835
0.6303 0.6303 0.3697


Entry 16:
ErAlCl6, optimized geometry, DFT GGA-PBE; energy relative to the elements, uncorrected = -176 kJ/mol of atoms; symmetry = C2/m (12)
1.0
7.0359 -1.0235 -0.1758
-3.5676 6.1501 -0.1758
-0.8108 -1.1985 6.0212
Er Al Cl
1 1 6
direct
0.0000 0.0000 0.0000
0.5000 0.5000 0.5000
0.2613 0.2613 0.7388
0.4078 0.1473 0.2773
0.7387 0.7387 0.2612
0.8527 0.5922 0.7227
0.5922 0.8527 0.7227
0.1473 0.4078 0.2773


Entry 17:
TlAuI5, optimized geometry, DFT GGA-PBE; energy relative to the elements, uncorrected = -15 kJ/mol of atoms; symmetry = C2/c (15)
1.0
8.1933 -0.4016 -0.1796
2.2186 7.8975 -0.1796
3.4877 2.5109 10.5022
Tl Au I
2 2 10
direct
0.6736 0.3264 0.2500
0.3264 0.6736 0.7500
0.0000 0.0000 0.0000
0.0000 0.0000 0.5000
0.7516 0.6510 0.1232
0.1884 0.6910 0.5055
0.6510 0.7516 0.6232
0.9710 0.0290 0.2500
0.3090 0.8116 0.9945
0.6910 0.1884 0.0055
0.0290 0.9710 0.7500
0.3490 0.2484 0.3768
0.8116 0.3090 0.4945
0.2484 0.3490 0.8768


Entry 18:
Th4SbPSe2, optimized geometry, DFT GGA-PBE; energy relative to the elements, uncorrected = -133 kJ/mol of atoms; symmetry = P2/m (10)
1.0
-0.6234 -3.9041 -1.6291
7.2138 -1.0123 -0.3346
2.4046 -3.0664 6.4281
Th Sb P Se
4 1 1 2
direct
0.0000 0.7397 0.7735
0.0000 0.2603 0.2265
0.5000 0.7549 0.2268
0.5000 0.2452 0.7732
0.0000 0.5000 0.5000
0.5000 0.5000 0.0000
0.0000 0.0000 0.0000
0.5000 0.0000 0.5000


Entry 19:
Nb2Fe2W, optimized geometry, DFT GGA-PBE; E_form = 0.4055 eV/atom; symmetry = I4/mmm (139)
1.0
3.2298 0.0000 0.0000
0.0000 3.2298 0.0000
1.6149 1.6149 7.6267
Nb Fe W
2 2 1
direct
0.3944 0.3944 0.2113
0.6056 0.6056 0.7887
0.7500 0.2500 0.5000
0.2500 0.7500 0.5000
0.0000 0.0000 0.0000


Entry 20:
Rb4Pr3ScTe8, optimized geometry, DFT GGA-PBE; energy relative to the elements, uncorrected = -131 kJ/mol of atoms; symmetry = R-3m (166)
1.0
-6.7780 5.7503 2.3841
0.3983 -3.4538 9.4629
7.7949 3.3157 -3.5981
Rb Pr Sc Te
4 3 1 8
direct
0.5000 0.0000 0.0000
0.5000 0.0000 0.5000
0.0000 0.0000 0.0000
0.0000 0.0000 0.5000
0.5000 0.5000 0.0000
0.5000 0.5000 0.5000
0.0000 0.5000 0.5000
0.0000 0.5000 0.0000
0.2240 0.6991 0.9753
0.2242 0.6992 0.4483
0.2635 0.2908 0.5271
0.7513 0.6991 0.9753
0.2487 0.3009 0.0247
0.7365 0.7092 0.4729
0.7758 0.3008 0.5517
0.7760 0.3009 0.0247


Entry 21:
BTeS3, optimized geometry, DFT GGA-PBE; energy relative to the elements, uncorrected = 61 kJ/mol of atoms; symmetry = Pm-3m (221)
1.0
4.2849 0.0000 0.0000
0.0000 4.2849 0.0000
0.0000 0.0000 4.2849
S Te B
3 1 1
direct
0.0000 0.5000 0.0000
0.0000 0.0000 0.5000
0.5000 0.0000 0.0000
0.5000 0.5000 0.5000
0.0000 0.0000 0.0000


Entry 22:
SrInSi2, optimized geometry, DFT GGA-PBE; energy relative to the elements, uncorrected = 14 kJ/mol of atoms; symmetry = I-4m2 (119)
1.0
-0.4670 -4.6544 3.3588
4.9760 -2.0425 2.0567
-2.5335 5.1665 -0.2273
In Si Sr
1 2 1
direct
0.7500 0.2500 0.5000
0.0000 0.0000 0.0000
0.2500 0.7500 0.5000
0.5000 0.5000 0.0000